The following is a DFT calculation (GGA-PBEsol) of crystalline NbSeCl3 at its relaxed geometry.

Cell lengths 6.301, 6.826, 11.980 Å; angles 90.00, 99.43, 90.00 degrees
Sites, in units of the cell vectors:
1 Se 0.827 0.086 0.698
2 Se 0.827 0.914 0.198
3 Se 0.173 0.086 0.802
4 Se 0.173 0.914 0.302
5 Cl 0.755 0.442 0.195
6 Cl 0.846 0.676 0.957
7 Cl 0.154 0.324 0.043
8 Cl 0.366 0.223 0.574
9 Cl 0.755 0.558 0.695
10 Cl 0.634 0.777 0.426
11 Cl 0.154 0.676 0.543
12 Cl 0.245 0.442 0.305
13 Cl 0.634 0.223 0.926
14 Cl 0.245 0.558 0.805
15 Cl 0.846 0.324 0.457
16 Cl 0.366 0.777 0.074
17 Nb 0.074 0.363 0.647
18 Nb 0.926 0.637 0.353
19 Nb 0.074 0.637 0.147
20 Nb 0.926 0.363 0.853

Formation energy without anion corrections   -5.515 eV/f.u.
Calculated volume   127.09 Å³/f.u.